No. 1
HPd4Pt2 | PBE-GGA | optimized geometry

The structure in POSCAR format:
```
HPd4Pt2
1.0
-1.927 1.927 6.810
1.927 -1.927 6.810
1.927 1.927 -6.810
H Pd Pt
1 4 2
direct
0.000 0.000 0.000
0.000 0.500 0.500
0.162 0.162 0.000
0.500 0.000 0.500
0.838 0.838 0.000
0.352 0.352 0.000
0.648 0.648 0.000
```

Computed properties:
Density, g cm⁻³: 13.41
Space-group type: I4/mmm
Size of the total moment, μB per formula unit: 0.000


No. 2
Li2BiBS4 | PBE-GGA | optimized geometry

The structure in POSCAR format:
```
Li2BiBS4
1.0
5.017 -5.787 0.000
5.017 5.787 0.000
-4.961 0.000 6.037
Li Bi B S
4 2 2 8
direct
0.000 0.000 0.000
0.000 0.000 0.500
0.000 0.500 0.000
0.500 0.000 0.500
0.000 0.500 0.500
0.500 0.000 0.000
0.500 0.500 0.000
0.500 0.500 0.500
0.170 0.760 0.965
0.240 0.830 0.535
0.310 0.314 0.956
0.314 0.310 0.456
0.686 0.690 0.544
0.690 0.686 0.044
0.760 0.170 0.465
0.830 0.240 0.035
```

Computed properties:
Energy relative to the elements, uncorrected, eV per formula unit: -4.39
Density, g cm⁻³: 3.43
Space-group type: C2/c
Size of the total moment, μB per formula unit: 0.000


no.,uncorrected energy (eV per atom)
1,-5.030
2,-4.410